The following is a GGA-PBE calculation of crystalline RbF4 at its relaxed geometry, from Alexandria via LeMat-Bulk.

Unit cell a=9.5420 b=9.5420 c=4.1290 alpha=90.00 beta=90.00 gamma=90.00
Last column: nearest neighbours and their distance in Å.
Atoms (fractional coordinates):
1 Rb 0.2214 0.2786 0.0000  6 F 2.89-3.02
2 Rb 0.2786 0.7786 0.0000  6 F 2.89-3.02
3 Rb 0.7214 0.2214 0.0000  6 F 2.89-3.02
4 Rb 0.7786 0.7214 0.0000  6 F 2.89-3.02
5 F 0.0000 0.0000 0.1745  1 F 1.44
6 F 0.0000 0.0000 0.8255  1 F 1.44
7 F 0.0103 0.2539 0.5000  1 F 1.73
8 F 0.1156 0.6156 0.5000  2 F 1.73
9 F 0.2461 0.4897 0.5000  1 F 1.73
10 F 0.2539 0.9897 0.5000  1 F 1.73
11 F 0.3844 0.1156 0.5000  2 F 1.73
12 F 0.4897 0.7539 0.5000  1 F 1.73
13 F 0.5000 0.5000 0.1745  1 F 1.44
14 F 0.5000 0.5000 0.8255  1 F 1.44
15 F 0.5103 0.2461 0.5000  1 F 1.73
16 F 0.6156 0.8844 0.5000  2 F 1.73
17 F 0.7461 0.0103 0.5000  1 F 1.73
18 F 0.7539 0.5103 0.5000  1 F 1.73
19 F 0.8844 0.3844 0.5000  2 F 1.73
20 F 0.9897 0.7461 0.5000  1 F 1.73

Computed properties:
Formation energy without anion corrections (meV per atom): -1159
Energy above the most stable polymorph in this dataset (meV/atom): 0
Energy (eV per atom): -2.85
Total magnetization (μB per atom): 0.0127